# 1
K4P2PdAu after structural relaxation. Source: OQMD, functional PBE.

Cell and atoms, written as POSCAR:
```
K4P2PdAu
1.0
-5.062 3.401 1.455
1.606 -2.765 5.393
3.394 4.483 1.272
Pd K P Au
1 4 2 1
Direct
0.000 0.000 0.500 Pd
0.525 0.181 0.749 K
0.181 0.525 0.749 K
0.475 0.819 0.251 K
0.819 0.475 0.251 K
0.250 0.250 0.254 P
0.750 0.750 0.746 P
0.000 0.000 0.000 Au
```

- Electronic total energy: -27.1 eV per cell
- Volume: 27.46 A^3/atom

***

# 2
Ac2Ni after structural relaxation. Source: OQMD, functional PBE.

Cell and atoms, written as POSCAR:
```
Ac2Ni
1.0
6.958 0.000 0.000
0.000 6.958 0.000
0.000 0.000 4.356
Ac Ni
4 2
Direct
0.301 0.301 0.000 Ac
0.699 0.699 0.000 Ac
0.199 0.801 0.500 Ac
0.801 0.199 0.500 Ac
0.500 0.500 0.500 Ni
0.000 0.000 0.000 Ni
```

- Electronic total energy: -28.4 eV per cell
- Total magnetization: 0.0 Bohr magnetons per cell
- Volume: 35.15 A^3/atom

***

# 3
TbTmGe2Ir after structural relaxation. Source: OQMD, functional PBE.

Cell and atoms, written as POSCAR:
```
TbTmGe2Ir
1.0
-4.471 2.701 2.226
-5.624 -0.133 -0.776
3.749 -7.658 5.790
Tm Ge Tb Ir
2 4 2 2
Direct
0.189 0.189 0.119 Tm
0.811 0.811 0.881 Tm
0.478 0.478 0.114 Ge
0.522 0.522 0.886 Ge
0.352 0.352 0.447 Ge
0.648 0.648 0.553 Ge
0.007 0.007 0.328 Tb
0.993 0.993 0.672 Tb
0.728 0.728 0.333 Ir
0.272 0.272 0.667 Ir
```

- Total magnetization: 0.0 Bohr magnetons per cell
- Energy above the lowest structure with this stoichiometry: 1.0 kJ/mol of formula units
- Volume: 20.70 A^3/atom

***

# 4
NaGdPu after structural relaxation. Source: OQMD, functional PBE.

Cell and atoms, written as POSCAR:
```
NaGdPu
1.0
2.546 0.791 4.551
2.146 4.705 1.038
-2.117 3.105 3.701
Gd Na Pu
1 1 1
Direct
0.250 0.250 0.250 Gd
0.000 0.000 0.000 Na
0.750 0.750 0.750 Pu
```

- Total magnetization: 7.9 Bohr magnetons per cell
- Energy above the lowest structure with this stoichiometry: 0.0 kJ/mol of formula units
- Volume: 34.59 A^3/atom

***

# 5
RbTmAs after structural relaxation. Source: OQMD, functional PBE.

Cell and atoms, written as POSCAR:
```
RbTmAs
1.0
0.000 3.638 3.638
3.638 0.000 3.638
3.638 3.638 0.000
Rb As Tm
1 1 1
Direct
0.250 0.250 0.250 Rb
0.000 0.000 0.000 As
0.750 0.750 0.750 Tm
```

- Electronic total energy: -10.5 eV per cell
- Total magnetization: 0.0 Bohr magnetons per cell
- Volume: 32.11 A^3/atom

***

# 6
ScBeAsOs after structural relaxation. Source: OQMD, functional PBE.

Cell and atoms, written as POSCAR:
```
ScBeAsOs
1.0
-2.940 -3.189 0.533
-4.053 0.963 1.320
-3.350 -0.371 -2.781
As Os Sc Be
1 1 1 1
Direct
0.500 0.500 0.500 As
0.250 0.250 0.250 Os
0.000 0.000 0.000 Sc
0.750 0.750 0.750 Be
```

- Total magnetization: 0.0 Bohr magnetons per cell
- Energy above the lowest structure with this stoichiometry: 113.1 kJ/mol of formula units
- Volume: 14.75 A^3/atom

***

# 7
CsNbB after structural relaxation. Source: OQMD, functional PBE.

Cell and atoms, written as POSCAR:
```
CsNbB
1.0
0.000 3.245 3.245
3.245 0.000 3.245
3.245 3.245 0.000
B Cs Nb
1 1 1
Direct
0.250 0.250 0.250 B
0.000 0.000 0.000 Cs
0.750 0.750 0.750 Nb
```

- Electronic total energy: -8.5 eV per cell
- Total magnetization: 0.9 Bohr magnetons per cell
- Volume: 22.78 A^3/atom

***

# 8
GdDyNi2Sn after structural relaxation. Source: OQMD, functional PBE.

Cell and atoms, written as POSCAR:
```
GdDyNi2Sn
1.0
-2.201 -2.186 -1.923
-3.315 -2.030 6.103
-5.320 1.167 4.763
Ni Gd Sn Dy
2 1 1 1
Direct
0.500 0.803 0.803 Ni
0.500 0.199 0.199 Ni
0.000 0.636 0.636 Gd
0.500 0.999 0.999 Sn
0.000 0.364 0.364 Dy
```

- Electronic total energy: -27.4 eV per cell
- Total magnetization: 0.0 Bohr magnetons per cell
- Volume: 20.33 A^3/atom

***

# 9
KErPdSe3 after structural relaxation. Source: OQMD, functional PBE.

Cell and atoms, written as POSCAR:
```
KErPdSe3
1.0
-2.339 8.323 -1.241
-0.914 -0.844 -3.940
-7.884 -5.128 2.928
Se Er Pd K
6 2 2 2
Direct
0.410 0.250 0.643 Se
0.964 0.250 0.660 Se
0.036 0.750 0.340 Se
0.590 0.750 0.357 Se
0.722 0.250 0.048 Se
0.278 0.750 0.952 Se
0.185 0.750 0.638 Er
0.815 0.250 0.362 Er
0.586 0.750 0.090 Pd
0.414 0.250 0.910 Pd
0.726 0.750 0.755 K
0.274 0.250 0.245 K
```

- Electronic total energy: -56.4 eV per cell
- Total magnetization: 0.0 Bohr magnetons per cell
- Volume: 28.02 A^3/atom

***

# 10
DyAsPbO after structural relaxation. Source: OQMD, functional PBE.

Cell and atoms, written as POSCAR:
```
DyAsPbO
1.0
5.048 0.000 0.000
0.000 6.588 0.000
0.000 0.000 6.376
Dy Pb As O
2 2 2 2
Direct
0.500 0.854 0.038 Dy
0.500 0.146 0.538 Dy
0.000 0.272 0.940 Pb
0.000 0.728 0.440 Pb
0.000 0.286 0.402 As
0.000 0.714 0.902 As
0.500 0.133 0.873 O
0.500 0.867 0.373 O
```

- Total magnetization: 0.0 Bohr magnetons per cell
- Energy above the lowest structure with this stoichiometry: 17.6 kJ/mol of formula units
- Volume: 26.51 A^3/atom

***

# 11
FeCoOs2 after structural relaxation. Source: OQMD, functional PBE.

Cell and atoms, written as POSCAR:
```
FeCoOs2
1.0
0.000 2.941 2.941
2.941 0.000 2.941
2.941 2.941 0.000
Co Os Fe
1 2 1
Direct
0.250 0.250 0.250 Co
0.750 0.750 0.750 Os
0.000 0.000 0.000 Os
0.500 0.500 0.500 Fe
```

- Electronic total energy: -36.3 eV per cell
- Total magnetization: 4.8 Bohr magnetons per cell
- Volume: 12.72 A^3/atom

***

# 12
Tb2AlCo2 after structural relaxation. Source: OQMD, functional PBE.

Cell and atoms, written as POSCAR:
```
Tb2AlCo2
1.0
4.710 -2.702 0.000
4.710 2.702 0.000
-1.822 0.000 7.281
Al Co Tb
2 4 4
Direct
0.876 0.124 0.750 Al
0.124 0.876 0.250 Al
0.288 0.997 0.006 Co
0.003 0.712 0.494 Co
0.997 0.288 0.506 Co
0.712 0.003 0.994 Co
0.499 0.793 0.646 Tb
0.207 0.501 0.854 Tb
0.501 0.207 0.354 Tb
0.793 0.499 0.146 Tb
```

- Electronic total energy: -58.2 eV per cell
- Total magnetization: 0.0 Bohr magnetons per cell
- Volume: 18.54 A^3/atom

***

# 13
Nd3Cd2InAgIr2 after structural relaxation. Source: OQMD, functional PBE.

Cell and atoms, written as POSCAR:
```
Nd3Cd2InAgIr2
1.0
4.013 0.000 0.000
0.000 6.721 3.877
0.000 -6.721 3.877
Ag Cd Nd Ir In
1 2 3 2 1
Direct
0.000 0.998 0.998 Ag
0.500 0.999 0.260 Cd
0.500 0.260 0.999 Cd
0.000 0.414 0.414 Nd
0.000 0.583 0.999 Nd
0.000 0.999 0.583 Nd
0.500 0.668 0.339 Ir
0.500 0.339 0.668 Ir
0.500 0.739 0.739 In
```

- Electronic total energy: -44.0 eV per cell
- Total magnetization: 0.0 Bohr magnetons per cell
- Volume: 23.24 A^3/atom

***

# 14
LiSi2Ni after structural relaxation. Source: OQMD, functional PBE.

Cell and atoms, written as POSCAR:
```
LiSi2Ni
1.0
8.858 -1.699 0.000
8.858 1.699 0.000
0.000 0.000 3.762
Si Ni Li
4 2 2
Direct
0.744 0.744 0.500 Si
0.461 0.461 0.500 Si
0.256 0.256 0.000 Si
0.539 0.539 0.000 Si
0.332 0.332 0.500 Ni
0.668 0.668 0.000 Ni
0.893 0.893 0.000 Li
0.107 0.107 0.500 Li
```

- Total magnetization: 0.0 Bohr magnetons per cell
- Energy above the lowest structure with this stoichiometry: 0.0 kJ/mol of formula units
- Volume: 14.15 A^3/atom

***

# 15
HfH8S2O12 after structural relaxation. Source: OQMD, functional PBE.

Cell and atoms, written as POSCAR:
```
HfH8S2O12
1.0
0.000 5.809 12.759
2.680 0.000 12.759
2.680 5.809 0.000
H O Hf S
16 24 2 4
Direct
0.374 0.925 0.088 H
0.001 0.365 0.761 H
0.761 0.874 0.001 H
0.365 0.001 0.874 H
0.874 0.761 0.365 H
0.885 0.249 0.376 H
0.489 0.376 0.249 H
0.088 0.613 0.374 H
0.637 0.162 0.325 H
0.162 0.637 0.876 H
0.613 0.088 0.925 H
0.376 0.489 0.885 H
0.925 0.374 0.613 H
0.325 0.876 0.637 H
0.249 0.885 0.489 H
0.876 0.325 0.162 H
0.385 0.795 0.153 O
0.657 0.212 0.230 O
0.038 0.593 0.349 O
0.593 0.038 0.020 O
0.200 0.346 0.597 O
0.795 0.385 0.667 O
0.153 0.667 0.385 O
0.865 0.455 0.097 O
0.597 0.858 0.200 O
0.050 0.904 0.653 O
0.653 0.392 0.050 O
0.349 0.020 0.038 O
0.904 0.050 0.392 O
0.455 0.865 0.583 O
0.667 0.153 0.795 O
0.583 0.097 0.455 O
0.020 0.349 0.593 O
0.097 0.583 0.865 O
0.901 0.230 0.212 O
0.230 0.901 0.657 O
0.858 0.597 0.346 O
0.212 0.657 0.901 O
0.346 0.200 0.858 O
0.392 0.653 0.904 O
0.250 0.250 0.250 Hf
0.000 0.000 0.000 Hf
0.557 0.557 0.943 S
0.943 0.943 0.557 S
0.693 0.693 0.307 S
0.307 0.307 0.693 S
```

- Electronic total energy: -276.5 eV per cell
- Total magnetization: 0.0 Bohr magnetons per cell
- Volume: 8.64 A^3/atom

***

# 16
BaCuBiPt after structural relaxation. Source: OQMD, functional PBE.

Cell and atoms, written as POSCAR:
```
BaCuBiPt
1.0
0.000 3.709 3.709
3.709 0.000 3.709
3.709 3.709 0.000
Pt Cu Bi Ba
1 1 1 1
Direct
0.500 0.500 0.500 Pt
0.750 0.750 0.750 Cu
0.000 0.000 0.000 Bi
0.250 0.250 0.250 Ba
```

- Total magnetization: 0.0 Bohr magnetons per cell
- Energy above the lowest structure with this stoichiometry: 104.7 kJ/mol of formula units
- Volume: 25.51 A^3/atom

***

# 17
Bi2MoAu after structural relaxation. Source: OQMD, functional PBE.

Cell and atoms, written as POSCAR:
```
Bi2MoAu
1.0
0.000 3.574 3.574
3.574 0.000 3.574
3.574 3.574 0.000
Mo Bi Au
1 2 1
Direct
0.500 0.500 0.500 Mo
0.250 0.250 0.250 Bi
0.000 0.000 0.000 Bi
0.750 0.750 0.750 Au
```

- Electronic total energy: -19.1 eV per cell
- Total magnetization: 2.6 Bohr magnetons per cell
- Volume: 22.83 A^3/atom

***

# 18
Si2AgSb after structural relaxation. Source: OQMD, functional PBE.

Cell and atoms, written as POSCAR:
```
Si2AgSb
1.0
0.000 3.374 3.374
3.374 0.000 3.374
3.374 3.374 0.000
Sb Si Ag
1 2 1
Direct
0.000 0.000 0.000 Sb
0.250 0.250 0.250 Si
0.500 0.500 0.500 Si
0.750 0.750 0.750 Ag
```

- Electronic total energy: -15.6 eV per cell
- Volume: 19.20 A^3/atom

***

# 19
LaSmZr after structural relaxation. Source: OQMD, functional PBE.

Cell and atoms, written as POSCAR:
```
LaSmZr
1.0
0.000 3.743 3.743
3.743 0.000 3.743
3.743 3.743 0.000
Zr La Sm
1 1 1
Direct
0.000 0.000 0.000 Zr
0.250 0.250 0.250 La
0.750 0.750 0.750 Sm
```

- Total magnetization: 2.0 Bohr magnetons per cell
- Energy above the lowest structure with this stoichiometry: 0.0 kJ/mol of formula units
- Volume: 34.97 A^3/atom

***

# 20
Hf4ZnSbN2 after structural relaxation. Source: OQMD, functional PBE.

Cell and atoms, written as POSCAR:
```
Hf4ZnSbN2
1.0
3.301 0.000 0.000
-1.650 2.859 0.000
0.000 0.000 13.726
Hf Sb N Zn
4 1 2 1
Direct
0.000 0.000 0.664 Hf
0.667 0.333 0.160 Hf
0.667 0.333 0.840 Hf
0.000 0.000 0.336 Hf
0.667 0.333 0.500 Sb
0.333 0.667 0.245 N
0.333 0.667 0.755 N
0.000 0.000 0.000 Zn
```

- Electronic total energy: -69.6 eV per cell
- Total magnetization: 0.0 Bohr magnetons per cell
- Volume: 16.19 A^3/atom

***

# 21
MgNbOs2 after structural relaxation. Source: OQMD, functional PBE.

Cell and atoms, written as POSCAR:
```
MgNbOs2
1.0
-4.832 -0.097 -1.234
-0.769 -5.757 3.467
-1.857 4.420 6.928
Nb Os Mg
4 8 4
Direct
0.105 0.250 0.580 Nb
0.395 0.250 0.080 Nb
0.605 0.750 0.920 Nb
0.895 0.750 0.420 Nb
0.100 0.062 0.295 Os
0.400 0.062 0.795 Os
0.600 0.562 0.205 Os
0.900 0.938 0.705 Os
0.100 0.438 0.295 Os
0.400 0.438 0.795 Os
0.600 0.938 0.205 Os
0.900 0.562 0.705 Os
0.107 0.750 0.068 Mg
0.607 0.250 0.432 Mg
0.893 0.250 0.932 Mg
0.393 0.750 0.568 Mg
```

- Electronic total energy: -130.2 eV per cell
- Total magnetization: 0.0 Bohr magnetons per cell
- Volume: 17.77 A^3/atom

***

# 22
Lu2FeCu after structural relaxation. Source: OQMD, functional PBE.

Cell and atoms, written as POSCAR:
```
Lu2FeCu
1.0
0.946 -0.877 4.467
-2.749 1.710 3.337
-2.743 -2.853 2.440
Lu Fe Cu
2 1 1
Direct
0.750 0.750 0.750 Lu
0.000 0.000 0.000 Lu
0.500 0.500 0.500 Fe
0.250 0.250 0.250 Cu
```

- Electronic total energy: -20.0 eV per cell
- Total magnetization: 2.0 Bohr magnetons per cell
- Volume: 17.77 A^3/atom

***

# 23
PmHg4Br after structural relaxation. Source: OQMD, functional PBE.

Cell and atoms, written as POSCAR:
```
PmHg4Br
1.0
4.553 0.560 7.773
7.615 -1.701 4.536
7.131 3.271 4.462
Hg Pm Br
4 1 1
Direct
0.739 0.739 0.739 Hg
0.261 0.261 0.261 Hg
0.611 0.611 0.611 Hg
0.389 0.389 0.389 Hg
0.000 0.000 0.000 Pm
0.500 0.500 0.500 Br
```

- Electronic total energy: -9.0 eV per cell
- Total magnetization: 0.0 Bohr magnetons per cell
- Volume: 30.82 A^3/atom

***

# 24
DyZrIn after structural relaxation. Source: OQMD, functional PBE.

Cell and atoms, written as POSCAR:
```
DyZrIn
1.0
0.000 3.519 3.519
3.519 0.000 3.519
3.519 3.519 0.000
In Zr Dy
1 1 1
Direct
0.250 0.250 0.250 In
0.000 0.000 0.000 Zr
0.500 0.500 0.500 Dy
```

- Electronic total energy: -15.4 eV per cell
- Total magnetization: 0.6 Bohr magnetons per cell
- Volume: 29.05 A^3/atom

***

# 25
LiTbPm after structural relaxation. Source: OQMD, functional PBE.

Cell and atoms, written as POSCAR:
```
LiTbPm
1.0
2.813 -3.541 -2.324
-2.226 -4.120 -1.981
-0.279 -0.561 -5.046
Pm Li Tb
1 1 1
Direct
0.250 0.250 0.250 Pm
0.000 0.000 0.000 Li
0.750 0.750 0.750 Tb
```

- Total magnetization: 1.5 Bohr magnetons per cell
- Energy above the lowest structure with this stoichiometry: 0.0 kJ/mol of formula units
- Volume: 30.98 A^3/atom